[1]
Li3ErPb2: relaxed, PBE.

Cell: 4.8937 8.4185 6.6276 Å, 90.00 90.00 90.00°
Last column: nearest neighbours and their distance in Å.
Space group Pmc2_1 (No. 26)
Asymmetric unit:
Li 0.0000 0.0011 0.0000  8 Li 3.12-3.31, 6 Pb 3.25-3.34
Li 0.0000 0.3142 0.2507  3 Pb 2.76-2.88
Li 0.5000 0.1603 0.7497  3 Pb 2.72-2.89
Er 0.5000 0.4997 0.0003  6 Pb 3.23-3.29, 6 Li 3.30-3.34, 2 Er 3.31
Pb 0.0000 0.3440 0.7500  3 Li 2.88-2.89
Pb 0.5000 0.1625 0.2506  3 Li 2.72-2.76

Values from the calculation:
Its calculated volume is 273.0 Å³ per cell. The calculated density comes out at 7.33 g/cm³. The raw total energy comes out at -3.281 eV per atom. The density of states at the Fermi level comes out at 0.50 states/eV per atom. The formation energy comes out at -328 meV per atom.

=====

[2]
Y4Er3Co2: relaxed, PBE.

Cell: 16.3269 3.6082 8.9088 Å, 90.00 113.41 90.00°
Last column: nearest neighbours and their distance in Å.
Space group C2/m (No. 12)
Asymmetric unit:
Y 0.1342 0.0000 0.3935  7 Y 3.61-3.93, 6 Er 3.62-3.77, 2 Co 3.97-3.98
Y 0.2284 0.5000 0.1474  3 Co 2.73-2.90
Er 0.0000 0.5000 0.0000  4 Co 2.84
Er 0.0716 0.5000 0.6940  2 Co 2.67
Co 0.1163 0.0000 0.9347  4 Er 2.67-2.84, 3 Y 2.73-2.90

Values from the calculation:
Its calculated volume is 481.6 Å³ per cell. The calculated density comes out at 6.72 g/cm³. The raw total energy comes out at -6.082 eV per atom. The density of states at the Fermi level comes out at 1.14 states/eV per atom. The formation energy comes out at -109 meV per atom.

=====

[3]
AcHo5Mg4: relaxed, PBE.

Cell: 3.7907 3.7907 20.2337 Å, 90.00 90.00 90.00°
Last column: nearest neighbours and their distance in Å.
Space group P4/mmm (No. 123)
Asymmetric unit:
Ac 0.0000 0.0000 0.0000  8 Ho 3.75, 4 Ac 3.79
Ho 0.5000 0.5000 0.1297  4 Mg 3.27
Ho 0.5000 0.5000 0.3147  8 Mg 3.26-3.27
Ho 0.5000 0.5000 0.5000  8 Mg 3.27
Mg 0.0000 0.0000 0.2226  8 Ho 3.26-3.27
Mg 0.0000 0.0000 0.4071  8 Ho 3.27

Values from the calculation:
Its calculated volume is 290.7 Å³ per cell. The calculated density comes out at 6.56 g/cm³. The raw total energy comes out at -3.380 eV per atom. The density of states at the Fermi level comes out at 1.44 states/eV per atom. The formation energy comes out at -43 meV per atom.

=====

[4]
HoMg2Cd2: relaxed, PBE.

Cell: 8.5842 4.9492 6.2986 Å, 90.00 116.93 90.00°
Last column: nearest neighbours and their distance in Å.
Space group C2/m (No. 12)
Asymmetric unit:
Ho 0.0000 0.0000 0.0000  6 Cd 3.14-3.15, 2 Mg 3.50
Mg 0.2084 0.0000 0.6232  3 Cd 2.97, 3 Mg 3.17-3.19
Cd 0.0894 0.5000 0.7669  3 Mg 2.97, 1 Cd 3.00, 3 Ho 3.14-3.15

Values from the calculation:
Its calculated volume is 238.6 Å³ per cell. The calculated density comes out at 6.10 g/cm³. The raw total energy comes out at -2.093 eV per atom. The density of states at the Fermi level comes out at 0.47 states/eV per atom. The formation energy comes out at -173 meV per atom.

=====

[5]
Ac3ScO: relaxed, PBE.

Cell: 5.3483 5.3483 5.3483 Å, 90.00 90.00 90.00°
Last column: nearest neighbours and their distance in Å.
Space group Pm-3m (No. 221)
Asymmetric unit:
Ac 0.0000 0.0000 0.5000  2 O 2.67
Sc 0.5000 0.5000 0.5000  12 Ac 3.78
O 0.0000 0.0000 0.0000  6 Ac 2.67

Values from the calculation:
Its calculated volume is 153.0 Å³ per cell. The calculated density comes out at 8.05 g/cm³. The raw total energy comes out at -5.752 eV per atom. The density of states at the Fermi level comes out at 0.75 states/eV per atom.

=====

[6]
U2TeCl4: relaxed, PBE.

Cell: 4.4140 20.3389 4.5155 Å, 90.00 90.00 90.00°
Last column: nearest neighbours and their distance in Å.
Space group Cmmm (No. 65)
Asymmetric unit:
U 0.0000 0.0819 0.0000  4 Cl 2.70
Te 0.0000 0.5000 0.5000  8 U 3.57, 8 Cl 3.84-3.94
Cl 0.0000 0.1548 0.5000  2 U 2.70
Cl 0.0000 0.3413 0.0000  2 U 2.70

Values from the calculation:
Its calculated volume is 405.4 Å³ per cell. The calculated density comes out at 6.11 g/cm³. The raw total energy comes out at -5.954 eV per atom. The density of states at the Fermi level comes out at 1.55 states/eV per atom.

=====

[7]
CeEuDy2: relaxed, PBE.

Cell: 5.0652 5.0652 5.1306 Å, 90.00 90.00 90.00°
Last column: nearest neighbours and their distance in Å.
Space group P4/mmm (No. 123)
Asymmetric unit:
Ce 0.0000 0.0000 0.0000  4 Eu 3.58, 8 Dy 3.60
Eu 0.5000 0.5000 0.0000  4 Ce 3.58, 8 Dy 3.60
Dy 0.0000 0.5000 0.5000  4 Dy 3.58, 4 Ce 3.60, 4 Eu 3.60

Values from the calculation:
Its calculated volume is 131.6 Å³ per cell. The calculated density comes out at 7.78 g/cm³. The raw total energy comes out at -6.198 eV per atom. The density of states at the Fermi level comes out at 2.13 states/eV per atom. The formation energy comes out at 155 meV per atom.

=====

[8]
Pm2Ga3CuIr4: relaxed, PBE.

Cell: 4.2004 4.2004 10.4658 Å, 90.00 90.00 90.00°
Last column: nearest neighbours and their distance in Å.
Space group P-4m2 (No. 115)
Asymmetric unit:
Pm 0.0000 0.5000 0.2477  8 Ir 3.21-3.34, 6 Ga 3.22-3.37, 2 Cu 3.37
Ga 0.0000 0.5000 0.8713  5 Ir 2.46-2.50
Ga 0.5000 0.5000 0.5000  4 Ir 2.54
Cu 0.0000 0.0000 0.5000  4 Ir 2.54
Ir 0.0000 0.0000 0.0000  4 Ga 2.50
Ir 0.0000 0.5000 0.6363  3 Ga 2.46-2.54, 2 Cu 2.54
Ir 0.5000 0.5000 0.0000  4 Ga 2.50

Values from the calculation:
Its calculated volume is 184.7 Å³ per cell. The calculated density comes out at 11.97 g/cm³. The raw total energy comes out at -6.413 eV per atom. The density of states at the Fermi level comes out at 0.44 states/eV per atom. The formation energy comes out at -601 meV per atom.

=====

[9]
LiCaSmSb: relaxed, PBE.

Cell: 7.5270 7.5270 7.5270 Å, 90.00 90.00 90.00°
Last column: nearest neighbours and their distance in Å.
Space group F-43m (No. 216)
Asymmetric unit:
Li 0.0000 0.0000 0.0000  4 Ca 3.26, 4 Sm 3.26
Ca 0.2500 0.2500 0.2500  4 Li 3.26, 4 Sb 3.26
Sm 0.2500 0.2500 0.7500  4 Li 3.26, 4 Sb 3.26
Sb 0.0000 0.0000 0.5000  4 Ca 3.26, 4 Sm 3.26

Values from the calculation:
Its calculated volume is 426.4 Å³ per cell. The calculated density comes out at 4.97 g/cm³. The raw total energy comes out at -3.652 eV per atom. The density of states at the Fermi level comes out at 0.87 states/eV per atom.

=====

[10]
Cs2CCl6F: relaxed, PBE.

Cell: 7.5376 7.5376 9.3018 Å, 90.00 90.00 90.00°
Last column: nearest neighbours and their distance in Å.
Space group I4/mmm (No. 139)
Asymmetric unit:
Cs 0.0000 0.5000 0.2500  12 Cl 3.59-3.77
C 0.0000 0.0000 0.0000  4 Cl 2.03
Cl 0.0000 0.0000 0.2566  1 F 2.26, 1 C 2.39
Cl 0.1906 0.1906 0.0000  1 C 2.03
F 0.0000 0.0000 0.5000  2 Cl 2.26

Values from the calculation:
Its calculated volume is 528.5 Å³ per cell. The calculated density comes out at 3.20 g/cm³. The raw total energy comes out at -2.828 eV per atom. The density of states at the Fermi level comes out at 0.44 states/eV per atom.

=====

[11]
Li2MnAsC: relaxed, PBE.

Cell: 4.6239 4.6239 4.7006 Å, 90.00 90.00 90.00°
Last column: nearest neighbours and their distance in Å.
Space group P4/mmm (No. 123)
Asymmetric unit:
Li 0.0000 0.5000 0.0000  2 As 2.31
Mn 0.0000 0.0000 0.5000  2 As 2.35
As 0.0000 0.0000 0.0000  4 Li 2.31, 2 Mn 2.35
C 0.5000 0.5000 0.5000  4 Mn 3.27, 8 Li 3.30

Values from the calculation:
Its calculated volume is 100.5 Å³ per cell. The calculated density comes out at 2.57 g/cm³. The raw total energy comes out at -4.236 eV per atom. The density of states at the Fermi level comes out at 1.10 states/eV per atom. The formation energy comes out at 1138 meV per atom.

=====

[12]
TbSm2Pd3: relaxed, PBE.

Cell: 13.0707 5.8610 8.2793 Å, 90.00 108.46 90.00°
Last column: nearest neighbours and their distance in Å.
Space group C2/c (No. 15)
Asymmetric unit:
Tb 0.0000 0.0090 0.2500  6 Pd 2.89-2.93
Sm 0.1673 0.4923 0.0837  6 Pd 2.93-2.95
Pd 0.0000 0.4907 0.7500  2 Tb 2.93, 4 Sm 2.93
Pd 0.1631 0.0078 0.5816  2 Tb 2.89, 4 Sm 2.93-2.95

Values from the calculation:
Its calculated volume is 601.6 Å³ per cell. The calculated density comes out at 8.60 g/cm³. The raw total energy comes out at -5.648 eV per atom. The density of states at the Fermi level comes out at 0.70 states/eV per atom. The formation energy comes out at -707 meV per atom.

=====

[13]
TlGaPtSe: relaxed, PBE.

Cell: 3.6201 5.3328 6.0269 Å, 100.56 90.16 109.75°
Last column: nearest neighbours and their distance in Å.
Space group P1 (No. 1)
Asymmetric unit:
Tl 0.0000 0.0000 0.0000  3 Pt 2.77-2.90
Ga 0.2289 0.4522 0.6837  2 Se 2.51, 2 Pt 2.54-2.55
Pt 0.7258 0.4428 0.9789  1 Se 2.54, 2 Ga 2.54-2.55, 1 Tl 2.77
Se 0.7546 0.5051 0.4076  2 Ga 2.51, 1 Pt 2.54

Values from the calculation:
Its calculated volume is 107.4 Å³ per cell. The calculated density comes out at 8.48 g/cm³. The raw total energy comes out at -3.926 eV per atom. The density of states at the Fermi level comes out at 0.24 states/eV per atom.